[1]
The following is a DFT calculation (GGA-PBE) of La4RhBr after structural relaxation.

Properties
VASP energy = -27.012 eV for the cell shown

Unit cell a=6.291 b=6.291 c=6.291 alpha=60.00 beta=60.00 gamma=60.00
Sites, in units of the cell vectors:
La (0.874, 0.375, 0.375)
La (0.375, 0.375, 0.874)
La (0.375, 0.874, 0.375)
La (0.375, 0.375, 0.375)
Rh (0.750, 0.750, 0.750)
Br (0.000, 0.000, 0.000)

---

[2]
The following is a DFT calculation (GGA-PBE) of La5RhBr5 after structural relaxation.

Properties
VASP energy = -55.445 eV for the cell shown

Unit cell a=6.129 b=7.339 c=8.920 alpha=108.16 beta=90.00 gamma=114.68
Sites, in units of the cell vectors:
La (0.825, 0.651, 0.141)
La (0.854, 0.708, 0.712)
La (0.500, 0.000, 0.000)
La (0.146, 0.292, 0.288)
La (0.175, 0.349, 0.859)
Rh (0.000, 0.000, 0.000)
Br (0.671, 0.342, 0.359)
Br (0.647, 0.294, 0.793)
Br (0.000, 0.000, 0.500)
Br (0.353, 0.706, 0.207)
Br (0.329, 0.658, 0.641)

---

[3]
The following is a DFT calculation (GGA-PBE) of LaRh4Br after structural relaxation.

Properties
VASP energy = -36.224 eV for the cell shown

Unit cell a=5.407 b=5.407 c=5.407 alpha=60.00 beta=60.00 gamma=60.00
Sites, in units of the cell vectors:
La (0.000, 0.000, 0.000)
Rh (0.877, 0.374, 0.374)
Rh (0.374, 0.374, 0.877)
Rh (0.374, 0.877, 0.374)
Rh (0.374, 0.374, 0.374)
Br (0.750, 0.750, 0.750)

---

[4]
The following is a DFT calculation (GGA-PBE) of LaRh3Br after structural relaxation.

Properties
energy above the lowest structure with this stoichiometry = 0.871 eV per atom

Unit cell a=4.992 b=4.992 c=4.992 alpha=90.00 beta=90.00 gamma=90.00
Sites, in units of the cell vectors:
Rh (0.000, 0.500, 0.000)
Rh (0.000, 0.000, 0.500)
Rh (0.500, 0.000, 0.000)
Br (0.500, 0.500, 0.500)
La (0.000, 0.000, 0.000)

---

[5]
The following is a DFT calculation (GGA-PBE) of LaRh3Br after structural relaxation.

Properties
energy above the lowest structure with this stoichiometry = 0.000 eV per atom

Unit cell a=4.709 b=4.709 c=4.709 alpha=90.00 beta=90.00 gamma=90.00
Sites, in units of the cell vectors:
Rh (0.000, 0.500, 0.000)
Rh (0.000, 0.000, 0.500)
Rh (0.500, 0.000, 0.000)
Br (0.000, 0.000, 0.000)
La (0.500, 0.500, 0.500)

---

[6]
The following is a DFT calculation (GGA-PBE) of LaRhBr after structural relaxation.

Properties
VASP energy = -16.030 eV for the cell shown

Unit cell a=6.017 b=6.011 c=3.730 alpha=72.03 beta=71.84 gamma=36.13
Sites, in units of the cell vectors:
Rh (0.697, 0.697, 0.303)
Br (0.003, 0.003, 0.997)
La (0.300, 0.300, 0.700)

---

[7]
The following is a DFT calculation (GGA-PBE) of La3RhBr3 after structural relaxation.

Properties
VASP energy = -74.547 eV for the cell shown

Unit cell a=4.189 b=9.216 c=12.281 alpha=94.06 beta=90.00 gamma=90.00
Sites, in units of the cell vectors:
La (0.250, 0.334, 0.629)
La (0.750, 0.666, 0.371)
La (0.250, 0.906, 0.613)
La (0.750, 0.094, 0.387)
La (0.250, 0.869, 0.146)
La (0.750, 0.131, 0.854)
Rh (0.250, 0.874, 0.373)
Rh (0.750, 0.126, 0.627)
Br (0.250, 0.384, 0.375)
Br (0.750, 0.616, 0.625)
Br (0.250, 0.881, 0.884)
Br (0.750, 0.119, 0.116)
Br (0.250, 0.379, 0.881)
Br (0.750, 0.621, 0.119)

---

[8]
The following is a DFT calculation (GGA-PBE) of La6Rh3Br2 after structural relaxation.

Properties
VASP energy = -65.777 eV for the cell shown

Unit cell a=7.272 b=7.279 c=8.101 alpha=81.41 beta=72.60 gamma=60.03
Sites, in units of the cell vectors:
La (0.401, 0.669, 0.799)
La (0.732, 0.000, 0.800)
La (0.069, 0.331, 0.799)
La (0.268, 0.000, 0.200)
La (0.599, 0.331, 0.201)
La (0.931, 0.669, 0.201)
Rh (0.000, 0.000, 0.000)
Rh (0.331, 0.339, 0.000)
Rh (0.669, 0.661, 0.000)
Br (0.167, 0.667, 0.500)
Br (0.833, 0.333, 0.500)